First-principles (PBE) data for a relaxed structure of KFe3, as listed in the Alexandria database.

The calculation puts the density of states at the Fermi level at 10.82 states/eV/f.u. The value obtained for the formation energy is 3.20 eV per atom.

a b c (Å): 5.9530 5.9530 5.9530
angles (deg): 90.00 90.00 90.00
Space group Pm-3m (No. 221)
Symmetry-distinct sites (fractional):
1 K 0.0000 0.0000 0.0000 (multiplicity 1)
2 Fe 0.0000 0.0000 0.5000 (multiplicity 3)

***

First-principles (PBE) data for a relaxed structure of Re3IBr, as listed in the Alexandria database.

The calculation puts the density of states at the Fermi level at 6.67 states/eV/f.u. The formation energy (no corrections) comes out at 2.74 eV/atom. The value obtained for the energy above the most stable polymorph in this dataset is 0 meV/atom.

a b c (Å): 4.6633 4.6633 4.6633
angles (deg): 90.00 90.00 90.00
Space group Pm-3m (No. 221)
Symmetry-distinct sites (fractional):
1 Re 0.0000 0.0000 0.5000 (multiplicity 3)
2 I 0.5000 0.5000 0.5000 (multiplicity 1)
3 Br 0.0000 0.0000 0.0000 (multiplicity 1)

***

First-principles (PBE) data for a relaxed structure of Y2TlSb, as listed in the Alexandria database.

The calculation puts the density of states at the Fermi level at 1.43 states/eV/f.u. The formation energy (no corrections) comes out at -0.68 eV/atom. The value obtained for the energy above the most stable polymorph in this dataset is 73 meV/atom.

a b c (Å): 7.2400 4.1750 8.3854
angles (deg): 90.00 106.62 90.00
Space group C2/m (No. 12)
Symmetry-distinct sites (fractional):
1 Y 0.2428 0.0000 0.2298 (multiplicity 4)
2 Tl 0.0000 0.0000 0.5000 (multiplicity 2)
3 Sb 0.0000 0.5000 0.0000 (multiplicity 2)

***

First-principles (PBE) data for a relaxed structure of Zn7CdPd4, as listed in the Alexandria database.

The calculation puts the density of states at the Fermi level at 4.38 states/eV/f.u. The value obtained for the formation energy is -0.16 eV per atom.

a b c (Å): 11.7086 4.7300 9.2457
angles (deg): 90.00 126.85 90.00
Space group C2/m (No. 12)
Symmetry-distinct sites (fractional):
1 Zn 0.0000 0.0000 0.0000 (multiplicity 2)
2 Zn 0.0637 0.5000 0.3425 (multiplicity 4)
3 Zn 0.1533 0.0000 0.5792 (multiplicity 4)
4 Zn 0.2147 0.5000 0.8661 (multiplicity 4)
5 Cd 0.0000 0.5000 0.0000 (multiplicity 2)
6 Pd 0.0804 0.0000 0.7871 (multiplicity 4)
7 Pd 0.2056 0.0000 0.3440 (multiplicity 4)

***

First-principles (PBE) data for a relaxed structure of YBiH6Ir2, as listed in the Alexandria database.

The calculation puts the density of states at the Fermi level at 1.26 states/eV/f.u. The value obtained for the electronic total energy is -5.025 eV/atom.

a b c (Å): 8.2189 12.7762 4.5471
angles (deg): 90.00 90.00 90.00
Space group Cmcm (No. 63)
Symmetry-distinct sites (fractional):
1 Y 0.0000 0.1344 0.2500 (multiplicity 4)
2 Bi 0.0000 0.4078 0.7500 (multiplicity 4)
3 H 0.1332 0.0000 0.0000 (multiplicity 8)
4 H 0.2410 0.1783 0.5226 (multiplicity 16)
5 Ir 0.2413 0.0796 0.7500 (multiplicity 8)

***

First-principles (PBE) data for a relaxed structure of Sm2Si3Os, as listed in the Alexandria database.

The calculation puts the density of states at the Fermi level at 4.57 states/eV/f.u. The formation energy (no corrections) comes out at -0.63 eV/atom. The value obtained for the energy above the most stable polymorph in this dataset is 0 meV/atom.

a b c (Å): 8.2698 8.3023 14.2577
angles (deg): 90.00 90.00 90.00
Space group Fmmm (No. 69)
Symmetry-distinct sites (fractional):
1 Sm 0.2423 0.0000 0.0000 (multiplicity 8)
2 Sm 0.2500 0.2500 0.2500 (multiplicity 8)
3 Si 0.0000 0.0000 0.3314 (multiplicity 8)
4 Si 0.0000 0.2499 0.0843 (multiplicity 16)
5 Os 0.0000 0.0000 0.1652 (multiplicity 8)

***

First-principles (PBE) data for a relaxed structure of La4Pm5Cd, as listed in the Alexandria database.

The calculation puts the density of states at the Fermi level at 14.22 states/eV/f.u. The value obtained for the formation energy is 0.08 eV per atom. The value obtained for the energy above the most stable polymorph in this dataset is 50 meV/atom.

a b c (Å): 10.9358 10.9358 5.9861
angles (deg): 90.00 90.00 90.00
Space group I4mm (No. 107)
Symmetry-distinct sites (fractional):
1 La 0.0000 0.3127 0.0000 (multiplicity 8)
2 Pm 0.0000 0.0000 0.8137 (multiplicity 2)
3 Pm 0.1844 0.1844 0.5133 (multiplicity 8)
4 Cd 0.0000 0.0000 0.2925 (multiplicity 2)

***

First-principles (PBE) data for a relaxed structure of US2Br4, as listed in the Alexandria database.

The calculation puts the density of states at the Fermi level at 4.01 states/eV/f.u. The formation energy (no corrections) comes out at -0.78 eV/atom.

a b c (Å): 4.0562 7.6487 9.9404
angles (deg): 99.68 91.81 104.74
Space group P-1 (No. 2)
Symmetry-distinct sites (fractional):
1 U 0.0000 0.0000 0.0000 (multiplicity 1)
2 S 0.2625 0.4296 0.4838 (multiplicity 2)
3 Br 0.0344 0.1088 0.7590 (multiplicity 2)
4 Br 0.3660 0.7363 0.9044 (multiplicity 2)

***

First-principles (PBE) data for a relaxed structure of LiTa2Ag, as listed in the Alexandria database.

The calculation puts the density of states at the Fermi level at 2.89 states/eV/f.u. The value obtained for the formation energy is 0.32 eV per atom. The value obtained for the energy above the most stable polymorph in this dataset is 169 meV/atom.

a b c (Å): 2.7391 5.0286 5.1177
angles (deg): 90.00 100.44 90.00
Space group P2/m (No. 10)
Symmetry-distinct sites (fractional):
1 Li 0.0000 0.0000 0.0000 (multiplicity 1)
2 Ta 0.2293 0.5000 0.7574 (multiplicity 2)
3 Ag 0.5000 0.0000 0.5000 (multiplicity 1)